# 1
A plane-wave DFT calculation with PBE+U was carried out for crystalline CdWO3 at its relaxed geometry.

POSCAR file:
```
CdWO3
1.0
4.080 0.000 0.000
0.000 4.080 0.000
0.000 0.000 4.080
Cd W O
1 1 3
Direct
0.000 0.000 0.000
0.500 0.500 0.500
0.000 0.000 0.500
0.000 0.500 0.000
0.500 0.000 0.000
```

Values from the calculation:
The calculation puts the energy at -21.176 eV per cell. As for the crystal system: cubic. As for the space-group type: Pm-3m, No. 221. The calculation puts the density of states at the Fermi level at 0.52 states/eV per atom. The size of the total moment comes out at 2.98 μB per formula unit.

# 2
A plane-wave DFT calculation with PBE+U was carried out for crystalline Cd2WO at its relaxed geometry.

POSCAR file:
```
Cd2WO
1.0
-4.246 4.246 2.218
4.246 -4.246 2.218
4.246 4.246 -2.218
Cd W O
4 2 2
Direct
0.027 0.625 0.902
0.375 0.277 0.402
0.723 0.125 0.098
0.875 0.973 0.598
0.250 0.750 0.500
0.500 0.500 0.000
0.000 0.000 0.000
0.750 0.250 0.500
```

Values from the calculation:
The calculation puts the energy at -26.791 eV per cell. As for the crystal system: tetragonal. As for the space-group type: I-42d, No. 122. The calculation puts the density of states at the Fermi level at 0.27 states/eV per atom. The size of the total moment comes out at 3.81 μB per formula unit.